DFT (PBE+U) results for a geometry-optimized FeAgOF2 structure.

Structure (extended XYZ):
```
5
Lattice="-2.605 -1.645 2.684 3.148 -1.427 2.180 0.056 3.245 2.043" Properties=species:S:1:pos:R:3 pbc="T T T"
Ag 0.299 0.087 3.454
Fe 0.000 0.000 0.000
F 1.574 -0.714 1.090
O 0.028 1.623 1.022
F -1.303 -0.822 1.342
```

* SG: P4/mmm, No. 123
* VASP energy: -4.877 eV/atom